No. 1
5
Lattice="5.112 0.000 0.000 0.000 5.112 0.000 0.000 0.000 4.443" Properties=species:S:1:pos:R:3 comment="ScBePb2Au PBE optimized geometry" spacegroup="P4/mmm (123)" crystal_system=tetragonal e_form_kcal_per_mol_atoms=3.6 pbc="T T T"
Sc 0.000 0.000 0.000
Be 2.556 2.556 2.222
Pb 0.000 2.556 2.222
Pb 2.556 0.000 2.222
Au 2.556 2.556 0.000



No. 2
5
Lattice="5.588 0.000 0.000 0.000 5.588 0.000 0.000 0.000 3.843" Properties=species:S:1:pos:R:3 comment="TiTeHI2 PBE optimized geometry" spacegroup="P4/mmm (123)" crystal_system=tetragonal polymorph_energy_mev_per_atom=436 pbc="T T T"
Ti 0.000 0.000 0.000
Te 2.794 2.794 0.000
H 2.794 2.794 1.922
I 0.000 2.794 1.922
I 2.794 0.000 1.922



No. 3
12
Lattice="-2.587 5.006 7.730 2.587 -5.006 7.730 2.587 5.006 -7.730" Properties=species:S:1:pos:R:3 comment="LaPr5Er6 PBE optimized geometry" spacegroup="Immm (71)" crystal_system=orthorhombic e_form_kcal_per_mol_atoms=0.5 pbc="T T T"
La 0.000 0.000 0.000
Pr 2.587 0.000 2.584
Pr 0.000 0.000 5.149
Pr 0.000 5.006 0.000
Pr 0.000 0.000 10.310
Pr 0.000 5.006 5.146
Er 2.587 -2.499 5.149
Er 2.587 2.513 0.000
Er 0.000 2.508 2.581
Er 2.587 2.499 5.149
Er 0.000 2.494 7.730
Er 0.000 7.505 2.581



No. 4
7
Lattice="3.564 0.000 0.000 1.781 7.705 0.000 0.010 3.295 8.062" Properties=species:S:1:pos:R:3 comment="YHo4Th2 PBE optimized geometry" spacegroup="P-1 (2)" crystal_system=triclinic e_form_kcal_per_mol_atoms=0.6 polymorph_energy_mev_per_atom=0 pbc="T T T"
Y 0.000 0.000 0.000
Ho 1.784 6.881 3.461
Ho 1.784 2.098 2.283
Ho 3.571 8.902 5.779
Ho 3.571 4.118 4.601
Th 1.791 6.148 6.922
Th 3.564 4.851 1.141



No. 5
5
Lattice="4.122 0.000 0.000 0.000 4.122 0.000 0.000 0.000 6.346" Properties=species:S:1:pos:R:3 comment="LiAuIN2 PBE optimized geometry" spacegroup="P4/mmm (123)" crystal_system=tetragonal formation_energy_uncorrected_mev_per_atom=1617 polymorph_energy_mev_per_atom=447 pbc="T T T"
Li 0.000 0.000 0.000
Au 2.061 2.061 3.173
I 0.000 0.000 3.173
N 0.000 2.061 0.000
N 2.061 0.000 0.000



Number 1: DOS at the Fermi energy 3.52 states/eV/cell. Number 2: DOS at the Fermi energy 6.11 states/eV/cell. Number 3: DOS at the Fermi energy 16.30 states/eV/cell. Number 4: DOS at the Fermi energy 9.58 states/eV/cell. Number 5: DOS at the Fermi energy 1.53 states/eV/cell.